Material: Li3Mn5Cr3O16
Method: DFT, SCAN
State: PBEsol geometry

a = 5.7675 Å, b = 5.7675 Å, c = 9.9450 Å
α = 106.72°, β = 106.72°, γ = 59.30°
Element x y z (fractional)
Li  0.0000  0.0000  0.0000
Li  0.3715  0.3715  0.1301
Li  0.5015  0.5015  0.5056
Mn  0.1884  0.1884  0.5691
Mn  0.4365  0.9381  0.8134
Mn  0.4388  0.9355  0.3184
Mn  0.9355  0.4388  0.3184
Mn  0.9381  0.4365  0.8134
Cr  0.4370  0.4370  0.8139
Cr  0.6855  0.6855  0.0649
Cr  0.9360  0.9360  0.3187
O  0.0301  0.5742  0.2005
O  0.0704  0.0704  0.2123
O  0.0800  0.5232  0.6966
O  0.0846  0.0846  0.6975
O  0.2923  0.2923  0.4353
O  0.2966  0.8468  0.4368
O  0.3034  0.3034  0.9212
O  0.3424  0.7993  0.9313
O  0.5232  0.0800  0.6966
O  0.5720  0.5720  0.7100
O  0.5742  0.0301  0.2005
O  0.5799  0.5799  0.2011
O  0.7922  0.7922  0.9315
O  0.7993  0.3424  0.9313
O  0.8005  0.8005  0.4197
O  0.8468  0.2966  0.4368

ΔE_f (raw) ... -2.33 eV/atom
Volume ... 9.941 Å³/atom

Material: Li2Mn3CrO8
Method: DFT, SCAN
State: PBEsol geometry

a = 5.7817 Å, b = 5.7817 Å, c = 5.7817 Å
α = 58.91°, β = 58.91°, γ = 58.91°
Element x y z (fractional)
Li  0.1243  0.1243  0.1243
Li  0.8757  0.8757  0.8757
Mn  0.0000  0.5000  0.5000
Mn  0.5000  0.0000  0.5000
Mn  0.5000  0.5000  0.0000
Cr  0.5000  0.5000  0.5000
O  0.2595  0.2595  0.7108
O  0.2595  0.7108  0.2595
O  0.2628  0.2628  0.2628
O  0.2892  0.7405  0.7405
O  0.7108  0.2595  0.2595
O  0.7372  0.7372  0.7372
O  0.7405  0.2892  0.7405
O  0.7405  0.7405  0.2892

ΔE_f (raw) ... -2.34 eV/atom
Volume ... 9.519 Å³/atom

Material: Li4Mn3CrO8
Method: DFT, SCAN
State: PBEsol geometry

a = 5.9447 Å, b = 5.9447 Å, c = 5.7280 Å
α = 117.96°, β = 117.96°, γ = 56.85°
Element x y z (fractional)
Li  0.0000  0.0000  0.0000
Li  0.0000  0.5000  0.5000
Li  0.5000  0.0000  0.5000
Li  0.5000  0.5000  0.0000
Mn  0.0000  0.0000  0.5000
Mn  0.0000  0.5000  0.0000
Mn  0.5000  0.0000  0.0000
Cr  0.5000  0.5000  0.5000
O  0.2361  0.7516  0.7268
O  0.2484  0.7639  0.2732
O  0.2591  0.2591  0.7843
O  0.2742  0.2742  0.2557
O  0.7258  0.7258  0.7443
O  0.7409  0.7409  0.2157
O  0.7516  0.2361  0.7268
O  0.7639  0.2484  0.2732

ΔE_f (raw) ... -2.30 eV/atom
Volume ... 8.961 Å³/atom

Material: Li4Mn3Cr2O10
Method: DFT, SCAN
State: PBEsol geometry

a = 4.9531 Å, b = 4.9922 Å, c = 7.6080 Å
α = 71.77°, β = 71.75°, γ = 81.25°
Element x y z (fractional)
Li  0.0000  0.0000  0.0000
Li  0.0981  0.4960  0.2919
Li  0.2891  0.4823  0.9169
Li  0.7204  0.4784  0.0734
Mn  0.1802  0.9756  0.6160
Mn  0.4929  0.4769  0.5165
Mn  0.8053  0.9792  0.4105
Cr  0.3961  0.9821  0.2044
Cr  0.6009  0.9720  0.8200
O  0.0374  0.2023  0.1828
O  0.1445  0.7527  0.4526
O  0.2817  0.2132  0.7426
O  0.3644  0.7444  0.0559
O  0.4448  0.2063  0.3760
O  0.5340  0.7576  0.6473
O  0.6196  0.2026  0.9719
O  0.7167  0.7340  0.2851
O  0.8470  0.2038  0.5652
O  0.9549  0.7651  0.8438

ΔE_f (raw) ... -2.29 eV/atom
Volume ... 8.915 Å³/atom

Material: Li2Mn3Cr3O12
Method: DFT, SCAN
State: PBEsol geometry

a = 4.9741 Å, b = 8.5588 Å, c = 5.1476 Å
α = 90.00°, β = 108.85°, γ = 90.00°
Element x y z (fractional)
Li  0.0000  0.0000  0.0000
Li  0.5000  0.5000  0.0000
Mn  0.0000  0.1678  0.5000
Mn  0.0000  0.5000  0.5000
Mn  0.0000  0.8322  0.5000
Cr  0.5000  0.0000  0.5000
Cr  0.5000  0.3296  0.5000
Cr  0.5000  0.6704  0.5000
O  0.2236  0.0000  0.7035
O  0.2320  0.3358  0.7031
O  0.2320  0.6642  0.7031
O  0.2542  0.1625  0.2963
O  0.2542  0.8375  0.2963
O  0.2700  0.5000  0.3039
O  0.7300  0.5000  0.6961
O  0.7458  0.1625  0.7037
O  0.7458  0.8375  0.7037
O  0.7680  0.3358  0.2969
O  0.7680  0.6642  0.2969
O  0.7764  0.0000  0.2965

ΔE_f (raw) ... -2.26 eV/atom
Volume ... 10.370 Å³/atom

Material: Li24Mn11CrO36
Method: DFT, SCAN
State: PBEsol geometry

a = 8.4849 Å, b = 8.4849 Å, c = 9.5231 Å
α = 98.30°, β = 98.30°, γ = 59.92°
Element x y z (fractional)
Li  0.0002  0.9998  0.0000
Li  0.0774  0.7561  0.7506
Li  0.0835  0.0835  0.7503
Li  0.0894  0.4105  0.7501
Li  0.1671  0.1659  0.5001
Li  0.2439  0.9226  0.2494
Li  0.2505  0.2491  0.2499
Li  0.2557  0.5761  0.2491
Li  0.3337  0.3329  0.9997
Li  0.4115  0.0877  0.7494
Li  0.4161  0.4169  0.7497
Li  0.4239  0.7443  0.7509
Li  0.5004  0.4996  0.5000
Li  0.5778  0.2554  0.2498
Li  0.5831  0.5839  0.2503
Li  0.5895  0.9106  0.2499
Li  0.6671  0.6663  0.0003
Li  0.7446  0.4222  0.7502
Li  0.7509  0.7495  0.7501
Li  0.7561  0.0780  0.7496
Li  0.8341  0.8329  0.4999
Li  0.9123  0.5885  0.2506
Li  0.9165  0.9165  0.2497
Li  0.9220  0.2439  0.2504
Mn  0.9998  0.3335  0.0001
Mn  0.0008  0.6659  0.0001
Mn  0.1663  0.4989  0.4998
Mn  0.3331  0.6669  0.0000
Mn  0.3341  0.9992  0.9999
Mn  0.5009  0.1659  0.5000
Mn  0.5011  0.8337  0.5002
Mn  0.6665  0.0002  0.9999
Mn  0.6674  0.3326  0.0000
Mn  0.8323  0.1677  0.5000
Mn  0.8341  0.4991  0.5000
Cr  0.1683  0.8317  0.5000
O  0.0336  0.0360  0.3858
O  0.0359  0.3906  0.3878
O  0.0599  0.6993  0.3871
O  0.1083  0.4639  0.1122
O  0.1314  0.7742  0.1124
O  0.1316  0.1308  0.1136
O  0.2024  0.2018  0.8863
O  0.2025  0.5586  0.8879
O  0.2258  0.8686  0.8876
O  0.2734  0.6299  0.6126
O  0.2983  0.2966  0.6136
O  0.3007  0.9401  0.6129
O  0.3691  0.3682  0.3861
O  0.3701  0.7266  0.3874
O  0.3928  0.0354  0.3876
O  0.4414  0.7975  0.1121
O  0.4647  0.1076  0.1121
O  0.4648  0.4644  0.1137
O  0.5356  0.5352  0.8863
O  0.5361  0.8917  0.8878
O  0.5592  0.2020  0.8877
O  0.6094  0.9641  0.6122
O  0.6303  0.2753  0.6122
O  0.6318  0.6309  0.6139
O  0.7023  0.0587  0.3876
O  0.7034  0.7017  0.3864
O  0.7247  0.3697  0.3878
O  0.7747  0.1308  0.1122
O  0.7980  0.4408  0.1123
O  0.7982  0.7976  0.1137
O  0.8692  0.2253  0.8878
O  0.8692  0.8684  0.8864
O  0.8924  0.5353  0.8879
O  0.9413  0.2977  0.6124
O  0.9640  0.9664  0.6142
O  0.9646  0.6072  0.6124

ΔE_f (raw) ... -2.34 eV/atom
Volume ... 8.125 Å³/atom

Material: Li2Mn3CrO8
Method: DFT, SCAN
State: PBEsol geometry

a = 8.1067 Å, b = 8.1067 Å, c = 8.1067 Å
α = 90.00°, β = 90.00°, γ = 90.00°
Element x y z (fractional)
Li  0.0031  0.0031  0.0031
Li  0.2469  0.2469  0.2469
Li  0.2531  0.7531  0.7469
Li  0.4969  0.9969  0.5031
Li  0.5031  0.4969  0.9969
Li  0.7469  0.2531  0.7531
Li  0.7531  0.7469  0.2531
Li  0.9969  0.5031  0.4969
Mn  0.1207  0.1293  0.6250
Mn  0.1250  0.3793  0.8707
Mn  0.1293  0.6250  0.1207
Mn  0.3707  0.3750  0.6207
Mn  0.3750  0.6207  0.3707
Mn  0.3793  0.8707  0.1250
Mn  0.6207  0.3707  0.3750
Mn  0.6250  0.1207  0.1293
Mn  0.6293  0.8750  0.8793
Mn  0.8707  0.1250  0.3793
Mn  0.8750  0.8793  0.6293
Mn  0.8793  0.6293  0.8750
Cr  0.1250  0.8750  0.3750
Cr  0.3750  0.1250  0.8750
Cr  0.6250  0.6250  0.6250
Cr  0.8750  0.3750  0.1250
O  0.1066  0.1159  0.3899
O  0.1101  0.8934  0.6159
O  0.1155  0.6155  0.8845
O  0.1159  0.3899  0.1066
O  0.1341  0.1434  0.8601
O  0.1345  0.3655  0.6345
O  0.1399  0.6341  0.3566
O  0.1434  0.8601  0.1341
O  0.3566  0.1399  0.6341
O  0.3601  0.3659  0.8566
O  0.3655  0.6345  0.1345
O  0.3659  0.8566  0.3601
O  0.3841  0.6101  0.6066
O  0.3845  0.3845  0.3845
O  0.3899  0.1066  0.1159
O  0.3934  0.8841  0.8899
O  0.6066  0.3841  0.6101
O  0.6101  0.6066  0.3841
O  0.6155  0.8845  0.1155
O  0.6159  0.1101  0.8934
O  0.6341  0.3566  0.1399
O  0.6345  0.1345  0.3655
O  0.6399  0.8659  0.6434
O  0.6434  0.6399  0.8659
O  0.8566  0.3601  0.3659
O  0.8601  0.1341  0.1434
O  0.8655  0.8655  0.8655
O  0.8659  0.6434  0.6399
O  0.8841  0.8899  0.3934
O  0.8845  0.1155  0.6155
O  0.8899  0.3934  0.8841
O  0.8934  0.6159  0.1101

ΔE_f (raw) ... -2.34 eV/atom
Volume ... 9.514 Å³/atom

Material: Li5MnCr3O8
Method: DFT, SCAN
State: PBEsol geometry

a = 5.8918 Å, b = 5.8918 Å, c = 9.7415 Å
α = 90.00°, β = 90.00°, γ = 120.00°
Element x y z (fractional)
Li  0.0000  0.0000  0.0000
Li  0.0000  0.0000  0.5000
Li  0.1959  0.3918  0.0767
Li  0.1959  0.8041  0.0767
Li  0.3333  0.6667  0.2922
Li  0.3918  0.1959  0.5767
Li  0.6082  0.8041  0.0767
Li  0.6667  0.3333  0.7922
Li  0.8041  0.1959  0.5767
Li  0.8041  0.6082  0.5767
Mn  0.3333  0.6667  0.5415
Mn  0.6667  0.3333  0.0415
Cr  0.1677  0.3354  0.8019
Cr  0.1677  0.8323  0.8019
Cr  0.3354  0.1677  0.3019
Cr  0.6646  0.8323  0.8019
Cr  0.8323  0.1677  0.3019
Cr  0.8323  0.6646  0.3019
O  0.0000  0.0000  0.1922
O  0.0000  0.0000  0.6922
O  0.0128  0.5064  0.6867
O  0.1601  0.3201  0.4163
O  0.1601  0.8399  0.4163
O  0.3201  0.1601  0.9163
O  0.3333  0.6667  0.9151
O  0.4936  0.5064  0.6867
O  0.4936  0.9872  0.6867
O  0.5064  0.0128  0.1867
O  0.5064  0.4936  0.1867
O  0.6667  0.3333  0.4151
O  0.6799  0.8399  0.4163
O  0.8399  0.1601  0.9163
O  0.8399  0.6799  0.9163
O  0.9872  0.4936  0.1867

ΔE_f (raw) ... -2.31 eV/atom
Volume ... 8.613 Å³/atom

Material: Li5Mn2CrO8
Method: DFT, SCAN
State: PBEsol geometry

a = 5.6926 Å, b = 5.6926 Å, c = 5.7309 Å
α = 119.91°, β = 119.91°, γ = 59.34°
Element x y z (fractional)
Li  0.0000  0.0000  0.0000
Li  0.0000  0.0000  0.5000
Li  0.0000  0.5000  0.0000
Li  0.5000  0.0000  0.0000
Li  0.5000  0.5000  0.0000
Mn  0.0000  0.5000  0.5000
Mn  0.5000  0.0000  0.5000
Cr  0.5000  0.5000  0.5000
O  0.2435  0.7239  0.7224
O  0.2505  0.2505  0.7278
O  0.2557  0.2557  0.2740
O  0.2761  0.7565  0.2776
O  0.7239  0.2435  0.7224
O  0.7443  0.7443  0.7260
O  0.7495  0.7495  0.2722
O  0.7565  0.2761  0.2776

ΔE_f (raw) ... -2.33 eV/atom
Volume ... 8.176 Å³/atom

Material: Li3Mn4CrO8
Method: DFT, SCAN
State: PBEsol geometry

a = 5.9744 Å, b = 5.9744 Å, c = 5.7965 Å
α = 118.99°, β = 118.99°, γ = 56.89°
Element x y z (fractional)
Li  0.0000  0.0000  0.0000
Li  0.0000  0.5000  0.5000
Li  0.5000  0.0000  0.5000
Mn  0.0000  0.0000  0.5000
Mn  0.0000  0.5000  0.0000
Mn  0.5000  0.0000  0.0000
Mn  0.5000  0.5000  0.0000
Cr  0.5000  0.5000  0.5000
O  0.2390  0.7370  0.7300
O  0.2588  0.2588  0.7779
O  0.2630  0.7610  0.2700
O  0.2718  0.2718  0.2478
O  0.7282  0.7282  0.7522
O  0.7370  0.2390  0.7300
O  0.7412  0.7412  0.2221
O  0.7610  0.2630  0.2700

ΔE_f (raw) ... -2.19 eV/atom
Volume ... 9.038 Å³/atom

Material: LiMn2Cr2O8
Method: DFT, SCAN
State: PBEsol geometry

a = 5.7050 Å, b = 5.7050 Å, c = 5.6354 Å
α = 118.97°, β = 118.97°, γ = 60.87°
Element x y z (fractional)
Li  0.0000  0.0000  0.0000
Mn  0.5000  0.5000  0.0000
Mn  0.5000  0.5000  0.5000
Cr  0.0000  0.5000  0.5000
Cr  0.5000  0.0000  0.5000
O  0.2645  0.7111  0.7401
O  0.2655  0.2655  0.2905
O  0.2676  0.2676  0.7387
O  0.2889  0.7355  0.2599
O  0.7111  0.2645  0.7401
O  0.7324  0.7324  0.2613
O  0.7345  0.7345  0.7095
O  0.7355  0.2889  0.2599

ΔE_f (raw) ... -2.19 eV/atom
Volume ... 10.196 Å³/atom

Material: Li2MnCr2O6
Method: DFT, SCAN
State: PBEsol geometry

a = 7.6517 Å, b = 7.6517 Å, c = 5.8321 Å
α = 101.50°, β = 101.50°, γ = 68.37°
Element x y z (fractional)
Li  0.1674  0.5027  0.6725
Li  0.1674  0.8326  0.0000
Li  0.4973  0.8326  0.3275
Li  0.5027  0.1674  0.6725
Li  0.8326  0.1674  0.0000
Li  0.8326  0.4973  0.3275
Mn  0.1647  0.8353  0.5000
Mn  0.5000  0.5000  0.5000
Mn  0.8353  0.1647  0.5000
Cr  0.1663  0.1663  0.8318
Cr  0.1692  0.4969  0.1677
Cr  0.4969  0.1692  0.1677
Cr  0.5031  0.8308  0.8323
Cr  0.8308  0.5031  0.8323
Cr  0.8337  0.8337  0.1682
O  0.0015  0.3442  0.0601
O  0.0076  0.0076  0.7306
O  0.0151  0.6733  0.4003
O  0.3229  0.3229  0.9297
O  0.3254  0.6647  0.2758
O  0.3267  0.9849  0.5997
O  0.3353  0.6746  0.7242
O  0.3442  0.0015  0.0601
O  0.3469  0.3469  0.4114
O  0.6531  0.6531  0.5886
O  0.6558  0.9985  0.9399
O  0.6647  0.3254  0.2758
O  0.6733  0.0151  0.4003
O  0.6746  0.3353  0.7242
O  0.6771  0.6771  0.0703
O  0.9849  0.3267  0.5997
O  0.9924  0.9924  0.2694
O  0.9985  0.6558  0.9399

ΔE_f (raw) ... -2.39 eV/atom
Volume ... 9.335 Å³/atom

Values for total moment, μB per cell, ordered as above
24.00 11.00 15.00 15.00 17.00 35.00 44.00 28.00 8.94 20.86 11.00 26.99